(1)
GeRhSe3 | PBE | relaxed

a b c (Å): 4.9189 4.9189 4.9189
angles (deg): 90.00 90.00 90.00
Fractional coordinates of all 5 atoms:
Ge  0.0000  0.0000  0.0000
Rh  0.5000  0.5000  0.5000
Se  0.0000  0.0000  0.5000
Se  0.0000  0.5000  0.0000
Se  0.5000  0.0000  0.0000

## Properties
Total magnetic moment: 2.19 μB per formula unit
Formation energy (no corrections): 0.87 eV per atom
VASP energy: -18.07 eV/cell


(2)
PmPuHgPb | PBE | relaxed

a b c (Å): 3.5703 3.5703 8.7488
angles (deg): 90.00 90.00 90.00
Fractional coordinates of all 4 atoms:
Pm  0.0000  0.0000  0.0000
Pu  0.0000  0.0000  0.5175
Hg  0.5000  0.5000  0.7596
Pb  0.5000  0.5000  0.2593

## Properties
DFT formation energy: -0.299 eV per atom
Total magnetic moment: 5.90 μB per formula unit
VASP energy: -24.29 eV/cell
Offset from the most stable computed form: 2 meV per atom


(3)
Sm12Dy7Mg | PBE | relaxed

a b c (Å): 9.9206 9.9206 9.9206
angles (deg): 109.47 109.47 109.47
Fractional coordinates of all 20 atoms:
Sm  0.0000  0.2462  0.7538
Sm  0.0000  0.7538  0.2462
Sm  0.2462  0.0000  0.7538
Sm  0.2462  0.2462  0.4925
Sm  0.2462  0.4925  0.2462
Sm  0.2462  0.7538  0.0000
Sm  0.4925  0.2462  0.2462
Sm  0.5075  0.7538  0.7538
Sm  0.7538  0.0000  0.2462
Sm  0.7538  0.2462  0.0000
Sm  0.7538  0.5075  0.7538
Sm  0.7538  0.7538  0.5075
Dy  0.0000  0.0000  0.5000
Dy  0.0000  0.5000  0.0000
Dy  0.0000  0.5000  0.5000
Dy  0.5000  0.0000  0.0000
Dy  0.5000  0.0000  0.5000
Dy  0.5000  0.5000  0.0000
Dy  0.5000  0.5000  0.5000
Mg  0.0000  0.0000  0.0000

## Properties
DFT formation energy: 0.686 eV per atom
Total magnetic moment: 0.00 μB per formula unit
VASP energy: -76.73 eV/cell
Offset from the most stable computed form: 536 meV per atom


(4)
AcTb6Nd3Tm2 | PBE | relaxed

a b c (Å): 6.2560 6.2560 11.9811
angles (deg): 94.98 94.98 119.98
Fractional coordinates of all 12 atoms:
Ac  0.0000  0.0000  0.0000
Tb  0.0840  0.4206  0.2501
Tb  0.2528  0.2528  0.7496
Tb  0.4206  0.0840  0.2501
Tb  0.5794  0.9160  0.7499
Tb  0.7472  0.7472  0.2504
Tb  0.9160  0.5794  0.7499
Nd  0.1671  0.8329  0.5000
Nd  0.5000  0.5000  0.5000
Nd  0.8329  0.1671  0.5000
Tm  0.3332  0.6668  0.0000
Tm  0.6668  0.3332  0.0000

## Properties
DFT formation energy: 0.028 eV per atom
Total magnetic moment: 0.00 μB per formula unit
VASP energy: -54.80 eV/cell